(1)
Computed, not measured: AgAsP2O8 after structural relaxation at the PBE level of DFT.

Cell: 4.7468 4.7468 8.5907 Å, 73.96 73.96 60.00°
Last column: nearest neighbours and their distance in Å.
Positions (direct):
Ag: 0.0000 0.0000 0.0000  6 O 2.86
As: 0.5000 0.5000 0.5000  6 O 1.87
P: 0.7616 0.7616 0.7151  4 O 1.50-1.56
P: 0.2384 0.2384 0.2849  4 O 1.50-1.56
O: 0.7001 0.7001 0.8997  1 P 1.50
O: 0.2999 0.2999 0.1003  1 P 1.50
O: 0.4833 0.2851 0.3529  1 P 1.56
O: 0.7149 0.5167 0.6471  1 P 1.56
O: 0.1214 0.7149 0.6471  1 P 1.56
O: 0.2851 0.8786 0.3529  1 P 1.56
O: 0.8786 0.4833 0.3529  1 P 1.56
O: 0.5167 0.1214 0.6471  1 P 1.56

## Properties
space group = R32
calculated density = 3.90 Mg/m³
ΔE_f (raw) = -1.420 eV per atom

(2)
Computed, not measured: AgAsPO2 after structural relaxation at the PBE level of DFT.

Cell: 3.6912 3.6912 5.2229 Å, 90.00 90.00 90.00°
Last column: nearest neighbours and their distance in Å.
Positions (direct):
P: 0.0000 0.0000 0.5000  4 Ag 2.61, 2 As 2.61
As: 0.0000 0.0000 0.0000  4 O 1.85
O: 0.0000 0.5000 0.0000  2 As 1.85
O: 0.5000 0.0000 0.0000  2 As 1.85
Ag: 0.5000 0.5000 0.5000  4 P 2.61

## Properties
space group = P4/mmm
calculated density = 5.73 Mg/m³
ΔE_f (raw) = -0.126 eV per atom
ΔE to the lowest computed polymorph = 0 meV/atom

(3)
Computed, not measured: AgAsPO2 after structural relaxation at the PBE level of DFT.

Cell: 3.9862 3.9862 4.9266 Å, 90.00 90.00 90.00°
Last column: nearest neighbours and their distance in Å.
Positions (direct):
P: 0.0000 0.0000 0.5000  2 Ag 2.46
As: 0.5000 0.5000 0.5000  4 P 2.82
O: 0.0000 0.5000 0.0000  2 Ag 1.99
O: 0.5000 0.0000 0.0000  2 Ag 1.99
Ag: 0.0000 0.0000 0.0000  4 O 1.99

## Properties
space group = P4/mmm
calculated density = 5.21 Mg/m³
ΔE_f (raw) = 0.693 eV per atom
ΔE to the lowest computed polymorph = 819 meV/atom

(4)
Computed, not measured: PaAgAs2O8 after structural relaxation at the PBE level of DFT.

Cell: 6.0316 6.0316 6.0316 Å, 106.34 106.34 115.94°
Last column: nearest neighbours and their distance in Å.
Positions (direct):
Pa: 0.2500 0.7500 0.5000  8 O 2.28-2.38
Ag: 0.0000 0.0000 0.0000  8 O 2.38-2.62
As: 0.7500 0.2500 0.5000  4 O 1.73
As: 0.5000 0.5000 0.0000  4 O 1.73
O: 0.3901 0.0656 0.3246  1 As 1.73
O: 0.3452 0.5409 0.1957  1 As 1.73
O: 0.3452 0.1495 0.8043  1 As 1.73
O: 0.7410 0.0656 0.6754  1 As 1.73
O: 0.8505 0.6548 0.1957  1 As 1.73
O: 0.9344 0.2590 0.3246  1 As 1.73
O: 0.9344 0.6099 0.6754  1 As 1.73
O: 0.4591 0.6548 0.8043  1 As 1.73

## Properties
space group = I-4m2
calculated density = 6.12 Mg/m³
ΔE_f (raw) = -1.697 eV per atom

(5)
Computed, not measured: PaAg2AsO6 after structural relaxation at the PBE level of DFT.

Cell: 5.5883 5.5883 5.6923 Å, 60.60 60.60 60.00°
Last column: nearest neighbours and their distance in Å.
Positions (direct):
Pa: 0.8162 0.8162 0.5515  6 O 2.19
Ag: 0.5677 0.5676 0.2971  3 O 2.39
Ag: 0.0646 0.0646 0.8062  3 O 2.39
As: 0.3162 0.3162 0.0515  6 O 1.88
O: 0.5446 0.1595 0.2825  1 As 1.88
O: 0.1596 0.0133 0.2826  1 As 1.88
O: 0.0133 0.5446 0.2826  1 As 1.88
O: 0.4728 0.6191 0.8204  1 As 1.88
O: 0.6191 0.0878 0.8204  1 As 1.88
O: 0.0877 0.4728 0.8204  1 As 1.88

## Properties
space group = R-3
calculated density = 8.09 Mg/m³
ΔE_f (raw) = -1.638 eV per atom

(6)
Computed, not measured: Pa2AgAsO8 after structural relaxation at the PBE level of DFT.

Cell: 5.1943 5.1943 7.0028 Å, 90.00 90.00 120.00°
Last column: nearest neighbours and their distance in Å.
Positions (direct):
Pa: 0.6667 0.3333 0.1557  1 O 1.86
Pa: 0.3333 0.6667 0.8443  1 O 1.86
Ag: 0.0000 0.0000 0.5000  12 O 2.91-3.05
As: 0.0000 0.0000 0.0000  6 O 1.83
O: 0.8311 0.6622 0.8545  1 As 1.83
O: 0.3378 0.1689 0.8545  1 As 1.83
O: 0.8311 0.1689 0.8545  1 As 1.83
O: 0.1689 0.3378 0.1455  1 As 1.83
O: 0.6622 0.8311 0.1455  1 As 1.83
O: 0.1689 0.8311 0.1455  1 As 1.83
O: 0.6667 0.3333 0.4216  1 Pa 1.86
O: 0.3333 0.6667 0.5784  1 Pa 1.86

## Properties
space group = P-3m1
calculated density = 7.84 Mg/m³
ΔE_f (raw) = -2.125 eV per atom

(7)
Computed, not measured: PaAgAsO6 after structural relaxation at the PBE level of DFT.

Cell: 8.0219 7.0513 7.4830 Å, 118.11 122.41 90.00°
Last column: nearest neighbours and their distance in Å.
Positions (direct):
Pa: 0.5000 0.0000 0.5000  6 O 2.12-2.24
Pa: 0.0000 0.0000 0.5000  6 O 2.12-2.24
Ag: 0.9461 0.6961 0.8922  1 O 2.19
Ag: 0.0539 0.3039 0.1078  1 O 2.19
As: 0.5000 0.5000 0.0000  6 O 1.84-1.87
As: 0.5000 0.0000 0.0000  6 O 1.84-1.87
O: 0.4418 0.6918 0.8836  2 As 1.87
O: 0.8450 0.0950 0.6901  1 Ag 2.19, 2 Pa 2.24
O: 0.7830 0.0788 0.2398  1 As 1.84
O: 0.4568 0.6611 0.2398  1 As 1.84
O: 0.4568 0.0788 0.2398  1 As 1.84
O: 0.7830 0.6611 0.2398  1 As 1.84
O: 0.5582 0.3082 0.1164  2 As 1.87
O: 0.1550 0.9050 0.3099  1 Ag 2.19, 2 Pa 2.24
O: 0.2170 0.9212 0.7602  1 As 1.84
O: 0.5432 0.3389 0.7602  1 As 1.84
O: 0.5432 0.9212 0.7602  1 As 1.84
O: 0.2170 0.3389 0.7602  1 As 1.84

## Properties
space group = Imma
calculated density = 5.71 Mg/m³
ΔE_f (raw) = -1.610 eV per atom

(8)
Computed, not measured: AgAs2PbO6 after structural relaxation at the PBE level of DFT.

Cell: 6.3638 7.5349 7.5349 Å, 86.21 73.75 73.75°
Last column: nearest neighbours and their distance in Å.
Positions (direct):
Ag: 0.2500 0.2665 0.7335  2 O 2.24
Ag: 0.7500 0.7335 0.2665  2 O 2.24
As: 0.2870 0.7658 0.6293  4 O 1.73-1.91
As: 0.2130 0.3707 0.2342  4 O 1.73-1.91
As: 0.7130 0.2342 0.3707  4 O 1.73-1.91
As: 0.7870 0.6293 0.7658  4 O 1.73-1.91
Pb: 0.2500 0.8782 0.1218  6 O 2.55-2.60
Pb: 0.7500 0.1218 0.8782  6 O 2.55-2.60
O: 0.1730 0.9388 0.7985  1 As 1.74
O: 0.3270 0.2015 0.0612  1 As 1.74
O: 0.8270 0.0612 0.2015  1 As 1.74
O: 0.6730 0.7985 0.9388  1 As 1.74
O: 0.3825 0.8559 0.4145  1 As 1.73
O: 0.1175 0.5855 0.1441  1 As 1.73
O: 0.6175 0.1441 0.5855  1 As 1.73
O: 0.8825 0.4145 0.8559  1 As 1.73
O: 0.0382 0.6805 0.6091  2 As 1.82-1.91
O: 0.4618 0.3909 0.3195  2 As 1.82-1.91
O: 0.9618 0.3195 0.3909  2 As 1.82-1.91
O: 0.5382 0.6091 0.6805  2 As 1.82-1.91

## Properties
space group = C2/c
calculated density = 5.59 Mg/m³
ΔE_f (raw) = -0.962 eV per atom

(9)
Computed, not measured: AgAsPbO5 after structural relaxation at the PBE level of DFT.

Cell: 5.9365 5.9365 7.6366 Å, 104.69 104.69 104.55°
Last column: nearest neighbours and their distance in Å.
Positions (direct):
Ag: 0.3351 0.6649 0.2500  1 O 2.23
Ag: 0.6649 0.3351 0.7500  1 O 2.23
As: 0.6788 0.3212 0.2500  4 O 1.73-1.74
As: 0.3212 0.6788 0.7500  4 O 1.73-1.74
Pb: 0.0000 0.0000 0.5000  6 O 2.12-2.30
Pb: 0.0000 0.0000 0.0000  6 O 2.12-2.30
O: 0.0972 0.9028 0.2500  2 Pb 2.12, 1 Ag 2.23
O: 0.9028 0.0972 0.7500  2 Pb 2.12, 1 Ag 2.23
O: 0.9016 0.3328 0.1397  1 As 1.74
O: 0.0984 0.6672 0.8603  1 As 1.74
O: 0.6672 0.0984 0.3603  1 As 1.74
O: 0.3328 0.9016 0.6397  1 As 1.74
O: 0.7367 0.6042 0.4195  1 As 1.73
O: 0.2633 0.3958 0.5805  1 As 1.73
O: 0.3958 0.2633 0.0805  1 As 1.73
O: 0.6042 0.7367 0.9195  1 As 1.73

## Properties
space group = C2/c
calculated density = 6.58 Mg/m³
ΔE_f (raw) = -0.861 eV per atom

(10)
Computed, not measured: Ag2AsPbO4 after structural relaxation at the PBE level of DFT.

Cell: 5.3768 5.3768 6.1332 Å, 115.94 115.94 90.11°
Last column: nearest neighbours and their distance in Å.
Positions (direct):
Ag: 0.7501 0.2501 0.5002  4 O 2.41-2.42
Ag: 0.2501 0.7501 0.5002  4 O 2.41-2.42
As: 0.4999 0.4999 0.9997  4 O 1.75
Pb: 0.0007 0.0007 0.0014  4 O 2.56
O: 0.5872 0.5872 0.7942  1 As 1.75
O: 0.4130 0.7923 0.2053  1 As 1.75
O: 0.7923 0.4130 0.2053  1 As 1.75
O: 0.2070 0.2070 0.7942  1 As 1.75

## Properties
space group = Fmm2
calculated density = 6.70 Mg/m³
ΔE_f (raw) = -0.696 eV per atom

(11)
Computed, not measured: AgAs2PbO8 after structural relaxation at the PBE level of DFT.

Cell: 4.9929 4.9929 8.4735 Å, 72.87 72.87 60.00°
Last column: nearest neighbours and their distance in Å.
Positions (direct):
Ag: 0.5000 0.5000 0.5000  6 O 2.19
As: 0.7534 0.7534 0.7399  4 O 1.72-1.73
As: 0.2466 0.2466 0.2601  4 O 1.72-1.73
Pb: 0.0000 0.0000 0.0000  12 O 2.90-3.05
O: 0.6814 0.6814 0.9558  1 As 1.72
O: 0.3186 0.3186 0.0442  1 As 1.72
O: 0.5587 0.2277 0.3203  1 As 1.73
O: 0.7723 0.4413 0.6797  1 As 1.73
O: 0.1068 0.7723 0.6797  1 As 1.73
O: 0.2277 0.8932 0.3203  1 As 1.73
O: 0.8932 0.5587 0.3203  1 As 1.73
O: 0.4413 0.1068 0.6797  1 As 1.73

## Properties
space group = R32
calculated density = 5.72 Mg/m³
ΔE_f (raw) = -0.661 eV per atom

(12)
Computed, not measured: AgAsPbO4 after structural relaxation at the PBE level of DFT.

Cell: 6.2666 6.7101 6.7101 Å, 73.01 62.16 62.16°
Last column: nearest neighbours and their distance in Å.
Positions (direct):
Ag: 0.5000 0.0000 0.5000  2 O 2.15
Ag: 0.0000 0.0000 0.5000  2 O 2.15
As: 0.6128 0.6372 0.1372  4 O 1.70-1.78
As: 0.3872 0.3628 0.8628  4 O 1.70-1.78
Pb: 0.0000 0.0000 0.0000  6 O 2.58-2.61
Pb: 0.0000 0.5000 0.5000  6 O 2.58-2.61
O: 0.7130 0.7195 0.8544  1 As 1.70
O: 0.2870 0.6456 0.7805  1 As 1.70
O: 0.7130 0.3544 0.2195  1 As 1.70
O: 0.2870 0.2805 0.1456  1 As 1.70
O: 0.2640 0.7552 0.2552  1 As 1.78
O: 0.7256 0.7552 0.2552  1 As 1.78
O: 0.2744 0.2448 0.7448  1 As 1.78
O: 0.7360 0.2448 0.7448  1 As 1.78

## Properties
space group = Imma
calculated density = 6.86 Mg/m³
ΔE_f (raw) = -0.968 eV per atom